(1)
# Pm4P2SeCl

A relaxed Pm4P2SeCl crystal (GGA-PBE, the Alexandria database).

E_tot in eV per atom: -6.0319
Space-group type: I4/mmm
Spin magnetization in μB per cell: 0.00

Unit cell a=5.8290 b=5.8290 c=7.1380 alpha=114.10 beta=114.10 gamma=90.01
Element x y z (fractional)
P 0.1871 0.6871 0.5000
P 0.6871 0.1871 0.5000
Pm 0.9373 0.4371 0.0000
Pm 0.6914 0.6914 0.5086
Pm 0.4371 0.9373 0.0000
Pm 0.1829 0.1829 0.4914
Cl 0.4372 0.4372 0.0000
Se 0.9371 0.9371 0.0000



(2)
# Ac2ZnPbO6

A relaxed Ac2ZnPbO6 crystal (GGA-PBE, the Alexandria database).

E_tot in eV per atom: -6.5104
Space-group type: C2/m
Spin magnetization in μB per cell: 0.00

Unit cell a=5.9623 b=5.8655 c=6.0085 alpha=119.22 beta=120.71 gamma=90.00
Element x y z (fractional)
O 0.8047 0.8151 0.1212
O 0.1953 0.6940 0.8788
O 0.1953 0.1849 0.8788
O 0.6489 0.2501 0.5003
O 0.8047 0.3060 0.1212
O 0.3511 0.7499 0.4997
Ac 0.2357 0.2531 0.5062
Ac 0.7643 0.7469 0.4938
Zn 0.5000 0.0000 0.0000
Pb 0.0000 0.5000 0.0000



(3)
# PmYPd

A relaxed PmYPd crystal (GGA-PBE, the Alexandria database).

E_tot in eV per atom: -5.9757
Polymorph energy (0 for the lowest one) in eV/atom: 0.067
Space-group type: C2/m
Calculated formation energy in eV per atom: -0.51
Spin magnetization in μB per cell: 0.01

Unit cell a=3.5958 b=7.2310 c=6.7037 alpha=105.92 beta=105.56 gamma=89.98
Element x y z (fractional)
Y 0.3019 0.9837 0.3704
Y 0.5760 0.1203 0.9183
Pd 0.9367 0.8158 0.6397
Pd 0.9411 0.2881 0.6491
Pm 0.5767 0.6204 0.9206
Pm 0.3012 0.4836 0.3684



(4)
# LaAs6Pd12

A relaxed LaAs6Pd12 crystal (GGA-PBE, the Alexandria database).

E_tot in eV per atom: -5.4124
Space-group type: R-3m
Calculated formation energy in eV per atom: -0.41
Spin magnetization in μB per cell: 0.00

Unit cell a=7.2557 b=7.2557 c=7.2557 alpha=104.28 beta=104.28 gamma=104.28
Element x y z (fractional)
Pd 0.8754 0.1246 0.5000
Pd 0.5000 0.8754 0.1246
Pd 0.1246 0.5000 0.8754
Pd 0.5000 0.1246 0.8754
Pd 0.8754 0.5000 0.1246
Pd 0.8359 0.5777 0.5777
Pd 0.1246 0.8754 0.5000
Pd 0.5777 0.5777 0.8359
Pd 0.5777 0.8359 0.5777
Pd 0.4223 0.4223 0.1641
Pd 0.4223 0.1641 0.4223
Pd 0.1641 0.4223 0.4223
As 0.3207 0.7534 0.7534
As 0.2466 0.6793 0.2466
As 0.6793 0.2466 0.2466
As 0.7534 0.7534 0.3207
As 0.2466 0.2466 0.6793
As 0.7534 0.3207 0.7534
La 0.0000 0.0000 0.0000



(5)
# RbMgAlO2

A relaxed RbMgAlO2 crystal (GGA-PBE, the Alexandria database).

E_tot in eV per atom: -3.5087
Space-group type: P4/mmm
Spin magnetization in μB per cell: 0.00

Unit cell a=3.9614 b=5.8699 c=3.9614 alpha=90.00 beta=90.00 gamma=90.00
Element x y z (fractional)
O 0.5000 0.0000 0.0000
O 0.0000 0.0000 0.5000
Al 0.0000 0.0000 0.0000
Mg 0.5000 0.5000 0.5000
Rb 0.0000 0.5000 0.0000



(6)
# Li2HfPb3S6

A relaxed Li2HfPb3S6 crystal (GGA-PBE, the Alexandria database).

E_tot in eV per atom: -5.1103
Space-group type: C2/m
Spin magnetization in μB per cell: 0.00

Unit cell a=6.9106 b=6.9106 c=6.9620 alpha=98.75 beta=98.75 gamma=120.24
Element x y z (fractional)
S 0.9232 0.6155 0.7924
S 0.7706 0.7706 0.2338
S 0.2294 0.2294 0.7662
S 0.6155 0.9232 0.7924
S 0.3845 0.0768 0.2076
S 0.0768 0.3845 0.2076
Pb 0.8330 0.1670 0.5000
Pb 0.5000 0.5000 0.5000
Pb 0.1670 0.8330 0.5000
Li 0.3165 0.6835 0.0000
Li 0.6835 0.3165 0.0000
Hf 0.0000 0.0000 0.0000